Entry 1:
Density functional theory data (PBE) for a relaxed structure of CeDyY2As4.

**Energy of formation**: -1.521 eV/atom
**Crystal system**: monoclinic

a = 7.1745 Å, b = 4.1477 Å, c = 7.1766 Å
α = 90.00°, β = 109.42°, γ = 90.00°
Last column: nearest neighbours and their distance in Å.
Sites, in units of the cell vectors:
Ce 0.0000 0.0000 0.0000  6 As 2.93-2.94
Dy 0.0000 0.5000 0.5000  6 As 2.93
Y 0.5000 0.0000 0.5000  6 As 2.92
Y 0.5000 0.5000 0.0000  6 As 2.93
As 0.2500 0.0000 0.7491  3 Y 2.92-2.93, 2 Dy 2.93, 1 Ce 2.93
As 0.2519 0.5000 0.2523  3 Y 2.92-2.93, 1 Dy 2.93, 2 Ce 2.94
As 0.7481 0.5000 0.7477  3 Y 2.92-2.93, 1 Dy 2.93, 2 Ce 2.94
As 0.7500 0.0000 0.2509  3 Y 2.92-2.93, 2 Dy 2.93, 1 Ce 2.93

---

Entry 2:
Density functional theory data (PBE) for a relaxed structure of Ce2DyY3As6.

**Energy of formation**: -1.513 eV/atom
**Crystal system**: monoclinic

a = 7.1970 Å, b = 7.1970 Å, c = 7.1893 Å
α = 99.61°, β = 99.61°, γ = 119.99°
Last column: nearest neighbours and their distance in Å.
Sites, in units of the cell vectors:
Ce 0.1666 0.8334 0.0000  6 As 2.95
Ce 0.8334 0.1666 0.0000  6 As 2.95
Dy 0.5000 0.5000 0.0000  6 As 2.93-2.94
Y 0.0000 0.0000 0.5000  6 As 2.93-2.94
Y 0.3328 0.6672 0.5000  6 As 2.93-2.94
Y 0.6672 0.3328 0.5000  6 As 2.93-2.94
As 0.0844 0.4163 0.7487  3 Y 2.93-2.94, 1 Dy 2.93, 2 Ce 2.95
As 0.2525 0.2525 0.2525  3 Y 2.93-2.94, 1 Dy 2.94, 2 Ce 2.95
As 0.4163 0.0844 0.7487  3 Y 2.93-2.94, 1 Dy 2.93, 2 Ce 2.95
As 0.5837 0.9156 0.2513  3 Y 2.93-2.94, 1 Dy 2.93, 2 Ce 2.95
As 0.7475 0.7475 0.7475  3 Y 2.93-2.94, 1 Dy 2.94, 2 Ce 2.95
As 0.9156 0.5837 0.2513  3 Y 2.93-2.94, 1 Dy 2.93, 2 Ce 2.95

---

Number 1: spin magnetization 0.07 μB/atom. Number 2: spin magnetization 0.10 μB/atom.